(1)
Entry from the Alexandria database: a relaxed structure of Cs2PbAuI (GGA-PBE).

a = 7.073 Å, b = 7.073 Å, c = 5.411 Å
α = 90.00°, β = 90.00°, γ = 90.00°
Positions (direct):
1 Cs 0.000 0.500 0.000
2 Cs 0.500 0.000 0.000
3 Pb 0.000 0.000 0.500
4 Au 0.000 0.000 0.000
5 I 0.500 0.500 0.500

**Crystal system**: tetragonal

(2)
Entry from the Alexandria database: a relaxed structure of Cs2PbAuI6 (GGA-PBE).

a = 8.610 Å, b = 8.610 Å, c = 8.610 Å
α = 120.14°, β = 120.14°, γ = 89.76°
Positions (direct):
1 Cs 0.250 0.750 0.500
2 Cs 0.750 0.250 0.500
3 Pb 0.000 0.000 0.000
4 Au 0.500 0.500 0.000
5 I 0.258 0.258 0.000
6 I 0.259 0.259 0.519
7 I 0.259 0.741 0.000
8 I 0.741 0.259 0.000
9 I 0.741 0.741 0.481
10 I 0.742 0.742 0.000

**Crystal system**: tetragonal

(3)
Entry from the Alexandria database: a relaxed structure of Cs2PbAuI5 (GGA-PBE).

a = 11.527 Å, b = 11.527 Å, c = 15.860 Å
α = 90.00°, β = 90.00°, γ = 156.02°
Positions (direct):
1 Cs 0.120 0.880 0.500
2 Cs 0.128 0.872 0.875
3 Cs 0.872 0.128 0.375
4 Cs 0.880 0.120 0.000
5 Pb 0.202 0.798 0.183
6 Pb 0.798 0.202 0.683
7 Au 0.465 0.535 0.580
8 Au 0.535 0.465 0.080
9 I 0.049 0.951 0.167
10 I 0.294 0.706 0.540
11 I 0.303 0.697 0.824
12 I 0.341 0.659 0.186
13 I 0.499 0.501 0.916
14 I 0.501 0.499 0.416
15 I 0.659 0.341 0.686
16 I 0.697 0.303 0.324
17 I 0.706 0.294 0.040
18 I 0.951 0.049 0.667

**Crystal system**: orthorhombic

(4)
Entry from the Alexandria database: a relaxed structure of Cs3PbAu2I9 (GGA-PBE).

a = 8.473 Å, b = 8.473 Å, c = 10.451 Å
α = 90.00°, β = 90.00°, γ = 120.00°
Positions (direct):
1 Cs 0.000 0.000 0.000
2 Cs 0.333 0.667 0.666
3 Cs 0.667 0.333 0.334
4 Pb 0.000 0.000 0.500
5 Au 0.333 0.667 0.151
6 Au 0.667 0.333 0.849
7 I 0.000 0.500 0.000
8 I 0.173 0.346 0.320
9 I 0.173 0.827 0.320
10 I 0.346 0.173 0.680
11 I 0.500 0.000 0.000
12 I 0.500 0.500 0.000
13 I 0.654 0.827 0.320
14 I 0.827 0.173 0.680
15 I 0.827 0.654 0.680

**Crystal system**: trigonal

Summary of uncorrected formation energy in meV/atom
-500 -795 -916 -748
(order as listed above)